Below is an optimized crystal structure of Ho2AgTe4, with properties calculated at the PBE level.

Cell: 7.659 6.237 8.912 Å, 90.00 100.67 90.00°
Space group P2_1/m (No. 11)
Inequivalent atoms, fractional coordinates:
Ho  0.179  0.250  0.377 (multiplicity 2)
Ho  0.253  0.250  0.937 (multiplicity 2)
Ag  0.250  0.750  0.651 (multiplicity 2)
Te  0.042  0.750  0.367 (multiplicity 2)
Te  0.087  0.750  0.915 (multiplicity 2)
Te  0.453  0.506  0.226 (multiplicity 4)

## Properties
Total magnetization   0.00 μB/cell
Fermi-level density of states   0.1098 states/eV/atom
VASP energy   -4.40 eV per atom

=====

Below is an optimized crystal structure of Ho5AgTe8, with properties calculated at the PBE level.

Cell: 12.662 12.662 12.662 Å, 90.00 90.00 90.00°
Space group F-43m (No. 216)
Inequivalent atoms, fractional coordinates:
Ho  0.000  0.000  0.000 (multiplicity 4)
Ho  0.119  0.119  0.619 (multiplicity 16)
Ag  0.250  0.250  0.250 (multiplicity 4)
Te  0.121  0.121  0.379 (multiplicity 16)
Te  0.134  0.134  0.866 (multiplicity 16)

## Properties
Total magnetization   0.00 μB/cell
VASP energy   -4.83 eV per atom